VASP calculation (GGA-PBE) on a relaxed structure of TaNi3Ge.

- ΔE to the lowest computed polymorph: 0.9447 eV/atom
- Space-group type: Pm-3m, No. 221

Geometry as POSCAR:
```
TaNi3Ge
1.0
4.567 0.000 0.000
0.000 4.567 0.000
0.000 0.000 4.567
Ta Ni Ge
1 3 1
direct
0.000 0.000 0.000
0.000 0.000 0.500
0.000 0.500 0.000
0.500 0.000 0.000
0.500 0.500 0.500
```

***

VASP calculation (GGA-PBE) on a relaxed structure of TaNiGe.

- Space-group type: I4mm, No. 107

Geometry as POSCAR:
```
TaNiGe
1.0
-1.467 1.467 5.042
1.467 -1.467 5.042
1.467 1.467 -5.042
Ta Ni Ge
1 1 1
direct
0.000 0.000 0.000
0.322 0.322 0.000
0.693 0.693 0.000
```

***

VASP calculation (GGA-PBE) on a relaxed structure of TaNi2Ge.

- Space-group type: Pmmm, No. 47

Geometry as POSCAR:
```
TaNi2Ge
1.0
2.785 0.000 0.000
0.000 4.013 0.000
0.000 0.000 5.017
Ta Ni Ge
1 2 1
direct
0.000 0.000 0.000
0.500 0.500 0.239
0.500 0.500 0.761
0.500 0.000 0.500
```

***

Values of E_tot, in order: -27.60 -22.72 -28.93, all in eV for the cell shown.
Values of spin magnetization, in order: 0.000 0.000 0.000, all in μB per atom.